The following is a DFT calculation (PBE with a Hubbard U) of crystalline Na2FeF5 at its relaxed geometry.

Cell: 6.430 6.430 7.552 Å, 110.34 110.34 50.72°
Sites, in units of the cell vectors:
Na: 0.139 0.142 0.257
Na: 0.142 0.139 0.757
Na: 0.858 0.861 0.243
Na: 0.861 0.858 0.743
Fe: 0.500 0.500 0.000
Fe: 0.500 0.500 0.500
F: 0.124 0.731 0.537
F: 0.200 0.473 0.869
F: 0.269 0.876 0.963
F: 0.352 0.648 0.250
F: 0.473 0.200 0.369
F: 0.527 0.800 0.631
F: 0.648 0.352 0.750
F: 0.731 0.124 0.037
F: 0.800 0.527 0.131
F: 0.876 0.269 0.463

Values from the calculation:
Total magnetic moment (μB per formula unit): 5.00
Raw total energy (eV/f.u.): -38.95